Compound: Np3Ge2Ir7
Source: Alexandria
Functional: PBE
Structure: optimized geometry

Values from the calculation:
- mass density (kg/m3) = 16649
- spin magnetization (μB per atom) = 0.704
- energy of formation (eV per atom) = 0.131
- electronic total energy (eV per atom) = -9.042

a = 4.5251 Å, b = 19.6701 Å, c = 4.9344 Å
α = 90.00°, β = 90.00°, γ = 90.00°
Space group Cmmm (No. 65)
Asymmetric unit:
Np 0.0000 0.0000 0.0000 x2
Np 0.0000 0.1396 0.0000 x4
Ge 0.0000 0.0727 0.5000 x4
Ir 0.0000 0.2206 0.5000 x4
Ir 0.0000 0.2949 0.0000 x4
Ir 0.0000 0.3598 0.5000 x4
Ir 0.0000 0.5000 0.5000 x2